Record 1
PBE Pu11Co4Sn9, optimized geometry; formation energy = -0.294 eV/atom; crystal system = orthorhombic; magnetic moment = 22.835 μB per cell
1.0
4.008 0.000 0.000
0.000 11.311 -4.626
0.000 0.191 12.218
Pu Co Sn
11 4 9
Direct
0.000 0.579 0.924
0.000 0.421 0.076
0.000 0.924 0.579
0.000 0.076 0.421
0.000 0.628 0.372
0.000 0.372 0.628
0.000 0.847 0.153
0.000 0.153 0.847
0.000 0.000 0.000
0.000 0.686 0.686
0.000 0.314 0.314
0.500 0.548 0.752
0.500 0.452 0.248
0.500 0.752 0.548
0.500 0.248 0.452
0.500 0.633 0.154
0.500 0.367 0.846
0.500 0.154 0.633
0.500 0.846 0.367
0.500 0.776 0.922
0.500 0.224 0.078
0.500 0.922 0.776
0.500 0.078 0.224
0.500 0.500 0.500

Record 2
PBE Pu4CoSn2, optimized geometry; formation energy = -0.048 eV/atom; crystal system = tetragonal; magnetic moment = 20.877 μB per cell
1.0
4.863 0.000 0.000
0.000 4.863 0.000
-2.431 -2.431 8.257
Co Sn Pu
1 2 4
Direct
0.000 0.000 0.000
0.636 0.636 0.273
0.364 0.364 0.727
0.827 0.827 0.655
0.173 0.173 0.345
0.000 0.500 0.000
0.500 0.000 0.000

Record 3
PBE Pu2CoSn, optimized geometry; formation energy = 0.230 eV/atom; crystal system = trigonal; energy above the most stable polymorph in this dataset = 0.2873 eV/atom; magnetic moment = 10.680 μB per cell
1.0
3.495 0.000 0.000
1.747 3.026 0.000
1.747 1.009 9.837
Co Sn Pu
1 1 2
Direct
0.500 0.500 0.500
0.000 0.000 0.000
0.109 0.109 0.673
0.891 0.891 0.327

Record 4
PBE Pu2CoSn8, optimized geometry; formation energy = -0.245 eV/atom; crystal system = tetragonal; magnetic moment = 10.956 μB per cell
1.0
-1.086 -2.850 3.451
-1.129 -3.262 -3.049
11.672 -4.216 0.190
Pu Co Sn
2 1 8
Direct
0.000 0.000 0.307
0.000 0.000 0.693
0.000 0.000 0.000
0.000 0.500 0.500
0.500 0.000 0.500
0.500 0.500 0.310
0.500 0.500 0.690
0.000 0.500 0.119
0.500 0.000 0.119
0.000 0.500 0.881
0.500 0.000 0.881

Record 5
PBE Pu3CoSn, optimized geometry; formation energy = -0.053 eV/atom; crystal system = cubic; magnetic moment = 15.839 μB per cell
1.0
-2.341 -1.253 -4.291
-0.892 -4.616 1.834
-4.380 1.610 1.920
Co Sn Pu
1 1 3
Direct
0.000 0.000 0.000
0.500 0.500 0.500
0.000 0.500 0.000
0.000 0.000 0.500
0.500 0.000 0.000

Record 6
PBE Pu2Co2Sn, optimized geometry; formation energy = -0.212 eV/atom; crystal system = orthorhombic; magnetic moment = 8.799 μB per cell
1.0
3.806 0.000 0.000
0.000 3.537 -1.005
0.000 0.175 7.334
Pu Co Sn
2 2 1
Direct
0.500 0.640 0.280
0.500 0.360 0.720
0.000 0.194 0.387
0.000 0.806 0.613
0.000 0.000 0.000

Record 7
PBE Pu2CoSn, optimized geometry; formation energy = 0.246 eV/atom; crystal system = tetragonal; energy above the most stable polymorph in this dataset = 0.3032 eV/atom; magnetic moment = 1.837 μB per cell
1.0
-5.170 -0.178 -0.100
0.138 -2.622 -2.459
0.034 -2.460 2.625
Co Sn Pu
1 1 2
Direct
0.500 0.500 0.500
0.500 0.000 0.000
0.000 0.000 0.500
0.000 0.500 0.000

Record 8
PBE Pu2CoSn, optimized geometry; formation energy = -0.057 eV/atom; crystal system = tetragonal; energy above the most stable polymorph in this dataset = 0.0000 eV/atom; magnetic moment = 10.125 μB per cell
1.0
-2.230 1.058 -2.886
2.800 -0.770 -2.446
-2.002 -5.633 -0.519
Co Sn Pu
1 1 2
Direct
0.500 0.500 0.000
0.500 0.500 0.500
0.000 0.000 0.774
0.000 0.000 0.226

The lowest magnetic moment belongs to which entry?
number 7

Which value of formation energy does entry 4 give?
-0.245 eV/atom

What is the formula in the third record?
Pu2CoSn